Computed, not measured: an optimized crystal structure of CeHoCo2H8 at the PBE level of DFT.

The value obtained for the uncorrected energy is -4.56 eV per atom. As for the space group: R-3m. As for the crystal system: trigonal. The calculation puts the magnetic moment at 0.245 μB per atom.

Unit cell a=6.576 b=6.576 c=6.576 alpha=39.47 beta=39.47 gamma=39.47
Fractional positions:
Ce 0.000 0.000 0.000
Ho 0.500 0.500 0.500
Co 0.270 0.270 0.270
Co 0.730 0.730 0.730
H 0.048 0.048 0.573
H 0.048 0.573 0.048
H 0.361 0.361 0.361
H 0.427 0.952 0.952
H 0.573 0.048 0.048
H 0.639 0.639 0.639
H 0.952 0.427 0.952
H 0.952 0.952 0.427